(1)
Crystalline PrZnRh at its relaxed geometry. Source: Alexandria via LeMat-Bulk, functional PBE.

Lattice parameters (Å, degrees): 4.063 7.330 16.608 90.00 90.00 90.00
Sites, in units of the cell vectors:
Zn 0.750 0.001 0.439
Zn 0.250 0.625 0.650
Zn 0.250 0.999 0.561
Zn 0.250 0.125 0.850
Zn 0.750 0.501 0.061
Zn 0.250 0.499 0.939
Zn 0.750 0.375 0.350
Zn 0.750 0.875 0.150
Rh 0.750 0.258 0.935
Rh 0.750 0.758 0.565
Rh 0.250 0.749 0.814
Rh 0.750 0.751 0.314
Rh 0.750 0.251 0.186
Rh 0.250 0.242 0.435
Rh 0.250 0.249 0.686
Rh 0.250 0.742 0.065
Pr 0.750 0.332 0.560
Pr 0.250 0.047 0.284
Pr 0.750 0.953 0.716
Pr 0.250 0.168 0.060
Pr 0.750 0.453 0.784
Pr 0.250 0.668 0.440
Pr 0.250 0.547 0.216
Pr 0.750 0.832 0.940

- total magnetization (Bohr magnetons per cell) = 0.00
- formation enthalpy at 0 K (meV/atom) = -629
- DFT total energy (eV per atom) = -5.097
- space-group type = Pnma

(2)
Crystalline TiOsSe3 at its relaxed geometry. Source: Alexandria via LeMat-Bulk, functional PBE.

Lattice parameters (Å, degrees): 4.871 4.871 4.871 90.00 90.00 90.00
Last column: magnetic moment on the atom in μB.
Sites, in units of the cell vectors:
Os 0.500 0.500 0.500  2.95
Se 0.000 0.500 0.000  0.03
Se 0.500 0.000 0.000  0.00
Se 0.000 0.000 0.500  0.06
Ti 0.000 0.000 0.000  0.24

- total magnetization (Bohr magnetons per cell) = 3.81
- DFT total energy (eV per atom) = -5.095
- space-group type = Pm-3m

(3)
Crystalline Rb2Cd2Te3 at its relaxed geometry. Source: Alexandria via LeMat-Bulk, functional PBE.

Lattice parameters (Å, degrees): 4.715 9.355 8.289 123.22 106.52 90.00
Sites, in units of the cell vectors:
Rb 0.446 0.225 0.892
Rb 0.554 0.775 0.108
Te 0.178 0.615 0.356
Te 0.000 0.000 0.000
Te 0.822 0.385 0.644
Cd 0.197 0.317 0.394
Cd 0.803 0.683 0.606

- total magnetization (Bohr magnetons per cell) = 0.00
- energy relative to the lowest polymorph listed for this composition (meV per atom) = 32
- DFT total energy (eV per atom) = -2.606
- space-group type = C2/m

(4)
Crystalline AcLa5PmDy2 at its relaxed geometry. Source: Alexandria via LeMat-Bulk, functional PBE.

Lattice parameters (Å, degrees): 10.329 8.111 8.111 90.00 90.00 90.00
Sites, in units of the cell vectors:
La 0.248 0.305 0.195
La 0.752 0.805 0.305
La 0.500 0.500 0.500
La 0.248 0.695 0.805
La 0.752 0.305 0.195
La 0.500 0.000 0.000
La 0.248 0.805 0.305
La 0.752 0.195 0.695
La 0.752 0.695 0.805
La 0.248 0.195 0.695
Dy 0.500 0.870 0.630
Dy 0.500 0.630 0.130
Dy 0.500 0.130 0.370
Dy 0.500 0.370 0.870
Ac 0.000 0.000 0.000
Ac 0.000 0.500 0.500
Pm 0.000 0.500 0.000
Pm 0.000 0.000 0.500

- total magnetization (Bohr magnetons per cell) = 0.00
- formation enthalpy at 0 K (meV/atom) = 242
- DFT total energy (eV per atom) = -4.502
- space-group type = P4/mbm